# AlTcBr2 (PBE-GGA, optimized geometry)
# raw formation energy: 203 meV per atom
# magnetization: 2.016 μB per formula unit
# ΔE to the lowest computed polymorph: 405.1 meV per atom
# total DFT energy (no corrections): -4.16 eV/atom
data_AlTcBr2
_chemical_formula_sum 'Al2 Tc2 Br4'
_cell_length_a 3.173
_cell_length_b 8.058
_cell_length_c 9.704
_cell_angle_alpha 90.00
_cell_angle_beta 90.00
_cell_angle_gamma 90.00
_space_group_name_H-M_alt 'I m m 2'
_space_group_IT_number 44
_space_group_name_Hall 'I 2 -2'
loop_
_atom_site_label
_atom_site_fract_x
_atom_site_fract_y
_atom_site_fract_z
Al1 0.000 0.000 0.000
Tc1 0.000 0.500 0.288
Br1 0.000 0.000 0.592
Br2 0.000 0.500 0.703